Below is crystalline HfCuPd at its relaxed geometry, with properties calculated at the GGA-PBE level.

abc: 3.403 3.403 8.381
angles: 90.00 90.00 90.00
Space group I4mm (No. 107)
Unique sites:
Hf: 0.000 0.000 0.000 x2
Cu: 0.000 0.000 0.333 x2
Pd: 0.000 0.000 0.666 x2

Results
Polymorph energy (0 for the lowest one) (eV per atom): 0.000
M_tot (μB/f.u.): 0.001
Energy of formation (eV/atom): -0.55

=====

Below is crystalline SrAs4Au2 at its relaxed geometry, with properties calculated at the GGA-PBE level.

abc: 6.608 9.230 22.400
angles: 90.00 90.00 90.00
Space group Fddd (No. 70, origin choice 2)
Unique sites:
Sr: 0.125 0.125 0.125 x8
As: 0.044 0.002 0.554 x32
Au: 0.125 0.125 0.296 x16

Results
Total energy (eV for the cell shown): -235.4

=====

Below is crystalline TbGdNi2I2 at its relaxed geometry, with properties calculated at the GGA-PBE level.

abc: 4.0584 4.0584 12.1992
angles: 90.00 90.00 120.00
Space group P3m1 (No. 156)
Unique sites:
Tb: 0.0000 0.0000 0.0000 x1
Gd: 0.0000 0.0000 0.2968 x1
Ni: 0.3333 0.6667 0.1437 x1
Ni: 0.6667 0.3333 0.1519 x1
I: 0.3333 0.6667 0.4731 x1
I: 0.6667 0.3333 0.8244 x1

Results
M_tot (μB/f.u.): 0.138
Total energy (eV for the cell shown): -28.8

=====

Below is crystalline DyHoO2 at its relaxed geometry, with properties calculated at the GGA-PBE level.

abc: 3.381 3.381 4.775
angles: 90.00 90.00 90.00
Space group P4/mmm (No. 123)
Unique sites:
Dy: 0.000 0.000 0.000 x1
Ho: 0.500 0.500 0.500 x1
O: 0.000 0.000 0.500 x1
O: 0.500 0.500 0.000 x1

Results
M_tot (μB/f.u.): 0.005
Total energy (eV for the cell shown): -30.2

=====

Below is crystalline NdMgPa at its relaxed geometry, with properties calculated at the GGA-PBE level.

abc: 7.255 7.255 7.255
angles: 90.00 90.00 90.00
Space group F-43m (No. 216)
Unique sites:
Nd: 0.000 0.000 0.000 x4
Mg: 0.250 0.250 0.250 x4
Pa: 0.000 0.000 0.500 x4

Results
Polymorph energy (0 for the lowest one) (eV per atom): 0.000
M_tot (μB/f.u.): 0.906

=====

Below is crystalline LaErIr at its relaxed geometry, with properties calculated at the GGA-PBE level.

abc: 6.723 6.723 6.723
angles: 90.00 90.00 90.00
Space group F-43m (No. 216)
Unique sites:
La: 0.000 0.000 0.000 x4
Er: 0.250 0.250 0.750 x4
Ir: 0.000 0.000 0.500 x4

Results
Polymorph energy (0 for the lowest one) (eV per atom): 0.000
M_tot (μB/f.u.): 0.001
Energy of formation (eV/atom): 0.05